# BaYMnCoO5 | Alexandria | PBE with a Hubbard U | relaxed
data_BaYMnCoO5
_symmetry_space_group_name_H-M 'P 4 m m'
_symmetry_Int_Tables_number 99
_cell_length_a 3.9227
_cell_length_b 3.9227
_cell_length_c 7.8339
_cell_angle_alpha 90.00
_cell_angle_beta 90.00
_cell_angle_gamma 90.00
loop_
_symmetry_equiv_pos_as_xyz
'x,y,z'
'-y,x,z'
'-x,-y,z'
'y,-x,z'
'-x,y,z'
'y,x,z'
'x,-y,z'
'-y,-x,z'
loop_
_atom_site_label
_atom_site_type_symbol
_atom_site_fract_x
_atom_site_fract_y
_atom_site_fract_z
Ba1 Ba 0.0000 0.0000 0.0000
Y1 Y 0.0000 0.0000 0.5219
Mn1 Mn 0.5000 0.5000 0.2807
Co1 Co 0.5000 0.5000 0.7508
O1 O 0.0000 0.5000 0.3402
O2 O 0.0000 0.5000 0.7035
O3 O 0.5000 0.5000 0.0211
# **Volume**: 13.39 A^3/atom
# **Excess energy over the best structure of this formula in the dataset**: 8 meV per atom
# **Electronic total energy**: -65.8 eV per cell